Here is Mn2ClO3 after structural relaxation from the Alexandria database. Energies are from PBE+U.

The structure belongs to space group Pnma (No. 62); the cell edges are 5.930, 6.655 and 8.499 Å and the angles 90.00°, 90.00° and 90.00°. The asymmetric unit holds Mn at (0.000, 0.000, 0.000), Mn at (0.186, 0.250, 0.253), Cl at (0.161, 0.250, 0.529), O at (0.060, 0.559, 0.775) and O at (0.178, 0.250, 0.025).

The volume comes out at 14.0 Å³ per atom. Its uncorrected energy is -156.7 eV for the cell shown.